A plane-wave DFT calculation with GGA-PBE was carried out for an optimized crystal structure of Cs5Rb5Na.

* calculated formation energy: 0.0488 eV/atom
* M_tot: 0.000 μB/atom
* SG: C2/m (12)
* density of states at the Fermi level: 1.06 states/eV/atom

a = 8.494 Å, b = 14.123 Å, c = 10.511 Å
α = 111.70°, β = 90.00°, γ = 107.50°
Element x y z (fractional)
Cs 0.698 0.396 0.202
Cs 0.638 0.276 0.641
Cs 0.000 0.000 0.500
Cs 0.362 0.724 0.359
Cs 0.302 0.604 0.798
Rb 0.850 0.699 0.069
Rb 0.851 0.702 0.631
Rb 0.500 0.000 0.000
Rb 0.149 0.298 0.369
Rb 0.150 0.301 0.931
Na 0.000 0.000 0.000

***

A plane-wave DFT calculation with GGA-PBE was carried out for an optimized crystal structure of CsRbNa3.

* calculated formation energy: 0.0379 eV/atom
* M_tot: 0.000 μB/atom
* SG: R-3m (166)
* E above lowest polymorph: 0.000 eV/atom
* density of states at the Fermi level: 0.93 states/eV/atom

a = 8.263 Å, b = 8.263 Å, c = 11.296 Å
α = 68.55°, β = 68.55°, γ = 60.00°
Element x y z (fractional)
Cs 0.420 0.420 0.739
Cs 0.580 0.580 0.261
Rb 0.164 0.164 0.509
Rb 0.836 0.836 0.491
Na 0.135 0.135 0.125
Na 0.135 0.605 0.125
Na 0.605 0.135 0.125
Na 0.865 0.865 0.875
Na 0.395 0.865 0.875
Na 0.865 0.395 0.875

***

A plane-wave DFT calculation with GGA-PBE was carried out for an optimized crystal structure of Cs3Rb7Na2.

* calculated formation energy: 0.0341 eV/atom
* M_tot: 0.000 μB/atom
* SG: P2/m (10)
* E above lowest polymorph: 0.000 eV/atom
* density of states at the Fermi level: 0.85 states/eV/atom

a = 5.376 Å, b = 7.819 Å, c = 25.520 Å
α = 99.01°, β = 90.00°, γ = 90.00°
Element x y z (fractional)
Cs 0.500 0.500 0.000
Cs 0.000 0.175 0.347
Cs 0.000 0.825 0.653
Rb 0.500 0.726 0.452
Rb 0.500 0.274 0.548
Rb 0.000 0.586 0.166
Rb 0.000 0.000 0.000
Rb 0.000 0.414 0.834
Rb 0.500 0.911 0.828
Rb 0.500 0.089 0.172
Na 0.500 0.648 0.291
Na 0.500 0.352 0.709

***

A plane-wave DFT calculation with GGA-PBE was carried out for an optimized crystal structure of Cs2Rb2Na3.

* calculated formation energy: 0.0241 eV/atom
* M_tot: 0.000 μB/atom
* SG: C2/m (12)
* density of states at the Fermi level: 0.72 states/eV/atom

a = 7.462 Å, b = 9.021 Å, c = 10.514 Å
α = 125.58°, β = 90.00°, γ = 114.43°
Element x y z (fractional)
Cs 0.832 0.665 0.706
Cs 0.168 0.335 0.294
Rb 0.831 0.663 0.207
Rb 0.169 0.337 0.793
Na 0.500 0.000 0.000
Na 0.486 0.972 0.320
Na 0.514 0.028 0.680

***

A plane-wave DFT calculation with GGA-PBE was carried out for an optimized crystal structure of Cs4Rb15Na.

* calculated formation energy: 0.0101 eV/atom
* M_tot: 0.000 μB/atom
* SG: P4/mmm (123)
* density of states at the Fermi level: 0.84 states/eV/atom

a = 7.315 Å, b = 7.315 Å, c = 34.512 Å
α = 90.00°, β = 90.00°, γ = 90.00°
Element x y z (fractional)
Cs 0.000 0.000 0.186
Cs 0.000 0.000 0.395
Cs 0.000 0.000 0.605
Cs 0.000 0.000 0.814
Rb 0.500 0.500 0.000
Rb 0.500 0.500 0.186
Rb 0.500 0.500 0.395
Rb 0.500 0.500 0.605
Rb 0.500 0.500 0.814
Rb 0.500 0.000 0.082
Rb 0.500 0.000 0.291
Rb 0.500 0.000 0.500
Rb 0.500 0.000 0.709
Rb 0.500 0.000 0.918
Rb 0.000 0.500 0.082
Rb 0.000 0.500 0.291
Rb 0.000 0.500 0.500
Rb 0.000 0.500 0.709
Rb 0.000 0.500 0.918
Na 0.000 0.000 0.000

***

A plane-wave DFT calculation with GGA-PBE was carried out for an optimized crystal structure of Cs2Rb4Na5.

* calculated formation energy: 0.0266 eV/atom
* M_tot: 0.000 μB/atom
* SG: C2/m (12)
* density of states at the Fermi level: 0.66 states/eV/atom

a = 7.829 Å, b = 8.374 Å, c = 13.799 Å
α = 91.78°, β = 73.52°, γ = 62.13°
Element x y z (fractional)
Cs 0.159 0.680 0.003
Cs 0.841 0.320 0.997
Rb 0.362 0.077 0.199
Rb 0.638 0.923 0.801
Rb 0.719 0.142 0.419
Rb 0.281 0.858 0.581
Na 0.791 0.607 0.295
Na 0.209 0.393 0.705
Na 0.000 0.500 0.500
Na 0.307 0.607 0.295
Na 0.693 0.393 0.705